Computed, not measured: an optimized crystal structure of CaHgPb at the PBE level of DFT.

Cell lengths 4.944, 5.796, 6.782 Å; angles 103.11, 90.10, 115.07 degrees
Sites, in units of the cell vectors:
Ca (0.000, 0.000, 0.000)
Ca (0.308, 0.613, 0.603)
Hg (0.658, 0.312, 0.305)
Hg (0.983, 0.961, 0.487)
Pb (0.322, 0.645, 0.123)
Pb (0.659, 0.315, 0.800)

Computed properties:
space group = P1 (1)
VASP energy = -14.3 eV per cell



Computed, not measured: an optimized crystal structure of NaCd2Ga at the PBE level of DFT.

Cell lengths 4.448, 4.448, 4.570 Å; angles 90.00, 90.00, 90.00 degrees
Sites, in units of the cell vectors:
Na (0.000, 0.000, 0.000)
Cd (0.000, 0.500, 0.500)
Cd (0.500, 0.000, 0.500)
Ga (0.500, 0.500, 0.000)

Computed properties:
space group = P4/mmm (123)
VASP energy = -6.3 eV per cell



Computed, not measured: an optimized crystal structure of TaBiTe3 at the PBE level of DFT.

Cell lengths 5.417, 5.417, 5.417 Å; angles 90.00, 90.00, 90.00 degrees
Sites, in units of the cell vectors:
Ta (0.000, 0.000, 0.000)
Bi (0.500, 0.500, 0.500)
Te (0.000, 0.000, 0.500)
Te (0.000, 0.500, 0.000)
Te (0.500, 0.000, 0.000)

Computed properties:
formation energy (no corrections) = 31 kJ/mol of atoms
space group = Pm-3m (221)
energy relative to the lowest polymorph listed for this composition = 121.9 kJ/mol of formula units



Computed, not measured: an optimized crystal structure of CeEr5Pb6 at the PBE level of DFT.

Cell lengths 8.276, 8.276, 7.702 Å; angles 95.12, 95.12, 136.45 degrees
Sites, in units of the cell vectors:
Ce (0.000, 0.000, 0.000)
Er (0.000, 0.000, 0.500)
Er (0.329, 0.671, 0.000)
Er (0.341, 0.659, 0.500)
Er (0.659, 0.341, 0.500)
Er (0.671, 0.329, 0.000)
Pb (0.168, 0.828, 0.260)
Pb (0.172, 0.832, 0.740)
Pb (0.485, 0.485, 0.759)
Pb (0.515, 0.515, 0.241)
Pb (0.828, 0.168, 0.260)
Pb (0.832, 0.172, 0.740)

Computed properties:
space group = C2/m (12)
VASP energy = -55.7 eV per cell



Computed, not measured: an optimized crystal structure of Li3Pb5Cl12 at the PBE level of DFT.

Cell lengths 14.835, 14.835, 14.835 Å; angles 109.47, 109.47, 109.47 degrees
Sites, in units of the cell vectors:
Li (0.125, 0.250, 0.375)
Li (0.125, 0.375, 0.750)
Li (0.250, 0.375, 0.125)
Li (0.250, 0.875, 0.625)
Li (0.375, 0.125, 0.250)
Li (0.375, 0.750, 0.125)
Li (0.625, 0.250, 0.875)
Li (0.625, 0.875, 0.750)
Li (0.750, 0.125, 0.375)
Li (0.750, 0.625, 0.875)
Li (0.875, 0.625, 0.250)
Li (0.875, 0.750, 0.625)
Pb (0.000, 0.000, 0.000)
Pb (0.000, 0.000, 0.500)
Pb (0.000, 0.500, 0.000)
Pb (0.000, 0.500, 0.500)
Pb (0.125, 0.750, 0.875)
Pb (0.125, 0.875, 0.250)
Pb (0.250, 0.125, 0.875)
Pb (0.250, 0.625, 0.375)
Pb (0.375, 0.250, 0.625)
Pb (0.375, 0.625, 0.750)
Pb (0.500, 0.000, 0.000)
Pb (0.500, 0.000, 0.500)
Pb (0.500, 0.500, 0.000)
Pb (0.500, 0.500, 0.500)
Pb (0.625, 0.375, 0.250)
Pb (0.625, 0.750, 0.375)
Pb (0.750, 0.375, 0.625)
Pb (0.750, 0.875, 0.125)
Pb (0.875, 0.125, 0.750)
Pb (0.875, 0.250, 0.125)
Cl (0.057, 0.230, 0.122)
Cl (0.057, 0.327, 0.934)
Cl (0.066, 0.622, 0.392)
Cl (0.066, 0.943, 0.673)
Cl (0.108, 0.730, 0.673)
Cl (0.108, 0.878, 0.434)
Cl (0.122, 0.057, 0.230)
Cl (0.122, 0.566, 0.892)
Cl (0.173, 0.230, 0.608)
Cl (0.173, 0.443, 0.566)
Cl (0.230, 0.122, 0.057)
Cl (0.230, 0.608, 0.173)
Cl (0.270, 0.327, 0.892)
Cl (0.270, 0.443, 0.378)
Cl (0.327, 0.892, 0.270)
Cl (0.327, 0.934, 0.057)
Cl (0.378, 0.270, 0.443)
Cl (0.378, 0.608, 0.934)
Cl (0.392, 0.066, 0.622)
Cl (0.392, 0.827, 0.770)
Cl (0.434, 0.108, 0.878)
Cl (0.434, 0.827, 0.557)
Cl (0.443, 0.378, 0.270)
Cl (0.443, 0.566, 0.173)
Cl (0.557, 0.434, 0.827)
Cl (0.557, 0.622, 0.730)
Cl (0.566, 0.173, 0.443)
Cl (0.566, 0.892, 0.122)
Cl (0.608, 0.173, 0.230)
Cl (0.608, 0.934, 0.378)
Cl (0.622, 0.392, 0.066)
Cl (0.622, 0.730, 0.557)
Cl (0.673, 0.066, 0.943)
Cl (0.673, 0.108, 0.730)
Cl (0.730, 0.557, 0.622)
Cl (0.730, 0.673, 0.108)
Cl (0.770, 0.392, 0.827)
Cl (0.770, 0.878, 0.943)
Cl (0.827, 0.557, 0.434)
Cl (0.827, 0.770, 0.392)
Cl (0.878, 0.434, 0.108)
Cl (0.878, 0.943, 0.770)
Cl (0.892, 0.122, 0.566)
Cl (0.892, 0.270, 0.327)
Cl (0.934, 0.057, 0.327)
Cl (0.934, 0.378, 0.608)
Cl (0.943, 0.673, 0.066)
Cl (0.943, 0.770, 0.878)

Computed properties:
formation energy (no corrections) = -102 kJ/mol of atoms
space group = Ia-3d (230)



Computed, not measured: an optimized crystal structure of LiAg4Au3 at the PBE level of DFT.

Cell lengths 16.701, 4.127, 4.179 Å; angles 90.00, 104.38, 90.00 degrees
Sites, in units of the cell vectors:
Li (0.000, 0.000, 0.000)
Li (0.500, 0.500, 0.000)
Ag (0.123, 0.000, 0.623)
Ag (0.250, 0.000, 0.251)
Ag (0.250, 0.500, 0.749)
Ag (0.377, 0.500, 0.377)
Ag (0.623, 0.500, 0.623)
Ag (0.750, 0.000, 0.749)
Ag (0.750, 0.500, 0.251)
Ag (0.877, 0.000, 0.377)
Au (0.000, 0.500, 0.500)
Au (0.122, 0.500, 0.121)
Au (0.378, 0.000, 0.879)
Au (0.500, 0.000, 0.500)
Au (0.622, 0.000, 0.121)
Au (0.878, 0.500, 0.879)

Computed properties:
space group = C2/m (12)
energy relative to the lowest polymorph listed for this composition = 0.0 kJ/mol of formula units



Computed, not measured: an optimized crystal structure of PmSmPu2Se4 at the PBE level of DFT.

Cell lengths 7.190, 4.153, 7.244 Å; angles 90.00, 109.34, 90.00 degrees
Sites, in units of the cell vectors:
Pm (0.000, 0.000, 0.000)
Sm (0.500, 0.500, 0.000)
Pu (0.000, 0.500, 0.500)
Pu (0.500, 0.000, 0.500)
Se (0.250, 0.000, 0.746)
Se (0.252, 0.500, 0.254)
Se (0.748, 0.500, 0.746)
Se (0.750, 0.000, 0.254)

Computed properties:
formation energy (no corrections) = -164 kJ/mol of atoms
space group = P2/m (10)



Computed, not measured: an optimized crystal structure of ZrVP at the PBE level of DFT.

Cell lengths 3.563, 3.702, 7.047 Å; angles 90.00, 90.00, 90.00 degrees
Sites, in units of the cell vectors:
Zr (0.250, 0.250, 0.144)
Zr (0.750, 0.750, 0.856)
V (0.250, 0.750, 0.502)
V (0.750, 0.250, 0.498)
P (0.250, 0.250, 0.745)
P (0.750, 0.750, 0.255)

Computed properties:
space group = Pmmn (59)
energy relative to the lowest polymorph listed for this composition = 5.0 kJ/mol of formula units



Computed, not measured: an optimized crystal structure of CsCd9Au2 at the PBE level of DFT.

Cell lengths 9.379, 9.379, 4.157 Å; angles 90.00, 90.00, 120.00 degrees
Sites, in units of the cell vectors:
Cs (0.000, 0.000, 0.000)
Cd (0.000, 0.500, 0.000)
Cd (0.201, 0.403, 0.500)
Cd (0.201, 0.799, 0.500)
Cd (0.403, 0.201, 0.500)
Cd (0.500, 0.000, 0.000)
Cd (0.500, 0.500, 0.000)
Cd (0.597, 0.799, 0.500)
Cd (0.799, 0.201, 0.500)
Cd (0.799, 0.597, 0.500)
Au (0.333, 0.667, 0.000)
Au (0.667, 0.333, 0.000)

Computed properties:
space group = P6/mmm (191)
VASP energy = -16.8 eV per cell



Computed, not measured: an optimized crystal structure of PmAg5S4 at the PBE level of DFT.

Cell lengths 8.289, 8.289, 8.289 Å; angles 151.02, 126.87, 61.65 degrees
Sites, in units of the cell vectors:
Pm (0.000, 0.000, 0.000)
Ag (0.056, 0.322, 0.734)
Ag (0.413, 0.678, 0.734)
Ag (0.500, 0.000, 0.500)
Ag (0.587, 0.322, 0.266)
Ag (0.944, 0.678, 0.266)
S (0.203, 0.203, 0.000)
S (0.265, 0.500, 0.765)
S (0.735, 0.500, 0.235)
S (0.797, 0.797, 0.000)

Computed properties:
formation energy (no corrections) = -48 kJ/mol of atoms
space group = Immm (71)



Computed, not measured: an optimized crystal structure of Ti2NbW at the PBE level of DFT.

Cell lengths 2.787, 2.818, 9.159 Å; angles 89.95, 89.84, 69.93 degrees
Sites, in units of the cell vectors:
Ti (0.000, 0.002, 0.262)
Ti (0.000, 0.998, 0.738)
Nb (0.500, 0.500, 0.000)
W (0.500, 0.500, 0.500)

Computed properties:
space group = P-1 (2)
energy relative to the lowest polymorph listed for this composition = 5.6 kJ/mol of formula units



Computed, not measured: an optimized crystal structure of Ac3Pr2Pt4 at the PBE level of DFT.

Cell lengths 7.588, 7.588, 10.735 Å; angles 119.84, 119.84, 33.53 degrees
Sites, in units of the cell vectors:
Ac (0.000, 0.000, 0.000)
Ac (0.198, 0.198, 0.803)
Ac (0.802, 0.802, 0.197)
Pr (0.383, 0.383, 0.612)
Pr (0.617, 0.617, 0.388)
Pt (0.209, 0.209, 0.306)
Pt (0.405, 0.405, 0.109)
Pt (0.595, 0.595, 0.891)
Pt (0.791, 0.791, 0.694)

Computed properties:
space group = C2/m (12)
VASP energy = -55.3 eV per cell



Which formula does entry 11 have?
Ti2NbW



Number 9 is which compound?
CsCd9Au2